Material: MnCd2BiO4
Method: DFT, GGA+U
State: relaxed

Cell: 6.7874 7.0234 9.6804 Å, 90.00 90.00 90.00°
Closest atoms and distances in Å follow each position.
Space group Imma (No. 74)
One atom of each set of equivalent atoms:
Mn 0.2500 0.2500 0.2500 [4 per cell]  6 O 2.25-2.32
Cd 0.0000 0.0000 0.0000 [4 per cell]  6 O 2.41-2.44
Cd 0.2500 0.2500 0.7500 [4 per cell]  6 O 2.57-2.59
Bi 0.0000 0.0000 0.5000 [4 per cell]  6 O 2.44-2.45
O 0.0000 0.0246 0.2483 [8 per cell]  2 Mn 2.32, 3 Cd 2.41-2.57, 1 Bi 2.44
O 0.2494 0.2500 0.0172 [8 per cell]  1 Mn 2.25, 2 Cd 2.44, 2 Bi 2.45

Values from the calculation:
* calculated volume: 14.4 Å³/atom
* VASP energy: -5.130 eV/atom